The following is a DFT calculation (PBE-GGA) of crystalline CeSc4Ir5 at its relaxed geometry.

Calculated values
SG: P4/mmm
Density, g/cm3: 12.077
DFT formation energy, eV per atom: -0.935
N(E_F), states/eV/atom: 0.55

Lattice parameters (Å, degrees): 3.1917 3.1917 17.2907 90.00 90.00 90.00
Last column: nearest neighbours and their distance in Å.
Fractional coordinates of all 10 atoms:
Ce: 0.0000 0.0000 0.0000  8 Ir 3.05, 4 Ce 3.19
Sc: 0.0000 0.0000 0.2122  8 Ir 2.78-2.82
Sc: 0.0000 0.0000 0.4042  8 Ir 2.79-2.80
Sc: 0.0000 0.0000 0.5958  8 Ir 2.79-2.80
Sc: 0.0000 0.0000 0.7878  8 Ir 2.78-2.82
Ir: 0.5000 0.5000 0.1187  4 Sc 2.78, 4 Ce 3.05
Ir: 0.5000 0.5000 0.3096  8 Sc 2.79-2.82
Ir: 0.5000 0.5000 0.5000  8 Sc 2.80
Ir: 0.5000 0.5000 0.6904  8 Sc 2.79-2.82
Ir: 0.5000 0.5000 0.8813  4 Sc 2.78, 4 Ce 3.05